# 1
VASP calculation (PBE) on crystalline Sc4SnS2 at its relaxed geometry.

It has space group Cmcm (No. 63), with a = 3.708 Å, b = 12.415 Å, c = 12.535 Å, α = 90.00°, β = 90.00° and γ = 90.00°. The distinct sites, in fractional coordinates, are Sc at (0.000, 0.000, 0.000), Sc at (0.000, 0.263, 0.116), Sc at (0.000, 0.422, 0.750), Sn at (0.000, 0.104, 0.750) and S at (0.000, 0.366, 0.557).

The electronic total energy comes out at -187.6 eV per cell. The value obtained for the calculated volume is 577 Å³/cell. The density of states at the Fermi level is 5.197 states/eV/f.u. For the formation energy from raw total energies, the calculation gives -1331 meV/atom. As for the calculated density: 4.17 g cm⁻³.



# 2
VASP calculation (PBE) on crystalline Sc8SnS4 at its relaxed geometry.

It has space group C2/m (No. 12), with a = 17.191 Å, b = 3.635 Å, c = 12.153 Å, α = 90.00°, β = 134.89° and γ = 90.00°. The distinct sites, in fractional coordinates, are Sc at (0.047, 0.000, 0.201), Sc at (0.130, 0.500, 0.796), Sc at (0.152, 0.500, 0.106), Sc at (0.167, 0.500, 0.538), Sn at (0.000, 0.000, 0.500), S at (0.156, 0.000, 0.967) and S at (0.189, 0.500, 0.344).

The electronic total energy comes out at -174.0 eV per cell. The value obtained for the calculated volume is 538 Å³/cell. The density of states at the Fermi level is 6.271 states/eV/f.u. For the formation energy from raw total energies, the calculation gives -1220 meV/atom. As for the calculated density: 3.74 g cm⁻³.



# 3
VASP calculation (PBE) on crystalline Sc3SnS2 at its relaxed geometry.

It has space group Cmcm (No. 63), with a = 4.659 Å, b = 11.781 Å, c = 8.796 Å, α = 90.00°, β = 90.00° and γ = 90.00°. The distinct sites, in fractional coordinates, are Sc at (0.000, 0.112, 0.250), Sc at (0.000, 0.373, 0.046), Sn at (0.000, 0.217, 0.750), S at (0.000, 0.000, 0.000) and S at (0.000, 0.464, 0.750).

The electronic total energy comes out at -153.4 eV per cell. The value obtained for the calculated volume is 483 Å³/cell. The density of states at the Fermi level is 4.225 states/eV/f.u. For the formation energy from raw total energies, the calculation gives -1185 meV/atom. As for the calculated density: 4.37 g cm⁻³.



# 4
VASP calculation (PBE) on crystalline Sc4TlSnS at its relaxed geometry.

It has space group Cmcm (No. 63), with a = 6.670 Å, b = 15.164 Å, c = 6.664 Å, α = 90.00°, β = 90.00° and γ = 90.00°. The distinct sites, in fractional coordinates, are Sc at (0.000, 0.084, 0.250), Sc at (0.000, 0.416, 0.250), Sc at (0.250, 0.250, 0.000), Tl at (0.000, 0.111, 0.750), Sn at (0.000, 0.388, 0.750) and S at (0.000, 0.250, 0.250).

The electronic total energy comes out at -164.0 eV per cell. The value obtained for the calculated volume is 674 Å³/cell. The density of states at the Fermi level is 3.659 states/eV/f.u. For the formation energy from raw total energies, the calculation gives -739 meV/atom. As for the calculated density: 5.27 g cm⁻³.



# 5
VASP calculation (PBE) on crystalline ScTl2SnS4 at its relaxed geometry.

It has space group P2/m (No. 10), with a = 6.852 Å, b = 3.840 Å, c = 7.789 Å, α = 90.00°, β = 106.20° and γ = 90.00°. The distinct sites, in fractional coordinates, are Sc at (0.000, 0.000, 0.000), Tl at (0.000, 0.500, 0.500), Tl at (0.500, 0.000, 0.500), Sn at (0.500, 0.500, 0.000), S at (0.221, 0.500, 0.188) and S at (0.257, 0.000, 0.804).

The electronic total energy comes out at -38.5 eV per cell. The value obtained for the calculated volume is 197 Å³/cell. The density of states at the Fermi level is 2.637 states/eV/f.u. For the formation energy from raw total energies, the calculation gives -864 meV/atom. As for the calculated density: 5.91 g cm⁻³.



# 6
VASP calculation (PBE) on crystalline Sc2Tl2SnS6 at its relaxed geometry.

It has space group C2/m (No. 12), with a = 6.520 Å, b = 11.334 Å, c = 7.952 Å, α = 90.00°, β = 106.15° and γ = 90.00°. The distinct sites, in fractional coordinates, are Sc at (0.000, 0.169, 0.000), Tl at (0.000, 0.332, 0.500), Sn at (0.000, 0.500, 0.000), S at (0.231, 0.334, 0.188) and S at (0.234, 0.000, 0.187).

The electronic total energy comes out at -116.4 eV per cell. The value obtained for the calculated volume is 564 Å³/cell. For the formation energy from raw total energies, the calculation gives -1095 meV/atom. As for the calculated density: 4.76 g cm⁻³.



# 7
VASP calculation (PBE) on crystalline SrScS3 at its relaxed geometry.

It has space group Pm-3m (No. 221), with a = 4.951 Å, b = 4.951 Å, c = 4.951 Å, α = 90.00°, β = 90.00° and γ = 90.00°. The distinct sites, in fractional coordinates, are Sr at (0.000, 0.000, 0.000), Sc at (0.500, 0.500, 0.500) and S at (0.000, 0.500, 0.500).

The electronic total energy comes out at -28.1 eV per cell. The energy above the most stable polymorph in this dataset is 0.000 eV per atom. The value obtained for the calculated volume is 121 Å³/cell. The density of states at the Fermi level is 3.172 states/eV/f.u. For the formation energy from raw total energies, the calculation gives -1546 meV/atom. As for the calculated density: 3.13 g cm⁻³.



# 8
VASP calculation (PBE) on crystalline SrSc2S at its relaxed geometry.

It has space group I-42d (No. 122), with a = 8.611 Å, b = 8.611 Å, c = 6.009 Å, α = 90.00°, β = 90.00° and γ = 90.00°. The distinct sites, in fractional coordinates, are Sr at (0.000, 0.000, 0.000), Sc at (0.144, 0.250, 0.625) and S at (0.000, 0.000, 0.500).

The electronic total energy comes out at -82.1 eV per cell. The value obtained for the calculated volume is 446 Å³/cell. The density of states at the Fermi level is 3.784 states/eV/f.u. For the formation energy from raw total energies, the calculation gives -515 meV/atom. As for the calculated density: 3.12 g cm⁻³.